First-principles (GGA-PBE) data for a relaxed BeTlRh2 crystal, as listed in Alexandria.

Values from the calculation:
As for the formation energy from the elements: 20.2 meV/atom. As for the final energy: -5.179 eV per atom. As for the energy relative to the lowest polymorph listed for this composition: 0.157 eV per atom.

Unit cell a=4.347 b=4.347 c=3.179 alpha=90.00 beta=90.00 gamma=90.00
Fractional coordinates of all 4 atoms:
Be (0.000, 0.000, 0.000)
Tl (0.500, 0.500, 0.000)
Rh (0.000, 0.500, 0.500)
Rh (0.500, 0.000, 0.500)



First-principles (GGA-PBE) data for a relaxed Ag2SnAu6 crystal, as listed in Alexandria.

Values from the calculation:
As for the formation energy from the elements: -22.3 meV/atom. As for the final energy: -3.286 eV per atom. As for the energy relative to the lowest polymorph listed for this composition: 0.019 eV per atom.

Unit cell a=7.977 b=7.977 c=5.056 alpha=98.77 beta=98.77 gamma=143.06
Fractional coordinates of all 9 atoms:
Ag (0.169, 0.831, 0.000)
Ag (0.831, 0.169, 0.000)
Sn (0.000, 0.000, 0.500)
Au (0.165, 0.502, 0.665)
Au (0.333, 0.333, 0.167)
Au (0.498, 0.835, 0.335)
Au (0.502, 0.165, 0.665)
Au (0.667, 0.667, 0.833)
Au (0.835, 0.498, 0.335)



First-principles (GGA-PBE) data for a relaxed Ca3LaTa crystal, as listed in Alexandria.

Values from the calculation:
As for the formation energy from the elements: 920.2 meV/atom. As for the final energy: -3.637 eV per atom. As for the energy relative to the lowest polymorph listed for this composition: 0.000 eV per atom.

Unit cell a=5.738 b=5.738 c=5.738 alpha=90.00 beta=90.00 gamma=90.00
Fractional coordinates of all 5 atoms:
Ca (0.000, 0.000, 0.500)
Ca (0.000, 0.500, 0.000)
Ca (0.500, 0.000, 0.000)
La (0.500, 0.500, 0.500)
Ta (0.000, 0.000, 0.000)